No. 1
PBE LiZrU2N4, relaxed; formation energy (no corrections) = -1.24 eV per atom; total moment = 2.59 Bohr magnetons per cell; VASP energy = -9.5309 eV per atom
1.0
5.7040 0.0000 0.0000
0.0000 3.3799 0.0000
-1.9983 0.0000 5.5166
Li Zr U N
1 1 2 4
Direct
0.0000 0.0000 0.0000
0.0000 0.5000 0.5000
0.5000 0.0000 0.5000
0.5000 0.5000 0.0000
0.2463 0.0000 0.7466
0.2716 0.5000 0.2728
0.7284 0.5000 0.7272
0.7537 0.0000 0.2534

---

No. 2
PBE Cu3Se5, relaxed; distance to the lowest polymorph of the same formula = 49 meV/atom; formation energy (no corrections) = 0.09 eV per atom; total moment = 0.00 Bohr magnetons per cell; VASP energy = -3.6230 eV per atom
1.0
3.5683 -6.4199 0.0000
3.5683 6.4199 0.0000
-3.5625 0.0000 7.7090
Cu Se
6 10
Direct
0.0960 0.9040 0.0000
0.2501 0.7499 0.5000
0.3733 0.3733 0.7489
0.6267 0.6267 0.2511
0.7499 0.2501 0.5000
0.9040 0.0960 0.0000
0.1261 0.3699 0.4957
0.1855 0.6631 0.8491
0.2800 0.2800 0.0002
0.3369 0.8145 0.1509
0.3699 0.1261 0.4957
0.6301 0.8739 0.5043
0.6631 0.1855 0.8491
0.7200 0.7200 0.9998
0.8145 0.3369 0.1509
0.8739 0.6301 0.5043

---

No. 3
PBE LaTaBeSn2, relaxed; total moment = 0.00 Bohr magnetons per cell; energy of formation from the pure elements = 0.27 eV/atom; VASP energy = -5.4301 eV per atom
1.0
4.8987 0.0000 0.0000
0.0000 4.8987 0.0000
0.0000 0.0000 4.7328
La Ta Be Sn
1 1 1 2
Direct
0.0000 0.0000 0.0000
0.5000 0.5000 0.0000
0.5000 0.5000 0.5000
0.0000 0.5000 0.5000
0.5000 0.0000 0.5000

---

No. 4
PBE TaSi2Te, relaxed; formation energy (no corrections) = 0.52 eV per atom; total moment = 0.00 Bohr magnetons per cell; VASP energy = -5.9398 eV per atom
1.0
4.7572 0.0000 0.0000
0.0000 4.7572 0.0000
0.0000 0.0000 3.2150
Ta Si Te
1 2 1
Direct
0.0000 0.0000 0.0000
0.0000 0.5000 0.5000
0.5000 0.0000 0.5000
0.5000 0.5000 0.0000